Density functional theory data (PBE) for crystalline Pm5NpS6 at its relaxed geometry.

```
Pm5NpS6
1.0
-0.603 -5.179 -4.615
2.416 -5.889 2.786
-4.288 -4.195 3.515
Np S Pm
1 6 5
direct
0.000 0.000 0.000 Np
0.754 0.082 0.327 S
0.246 0.591 0.327 S
0.249 0.245 0.000 S
0.751 0.755 0.000 S
0.754 0.409 0.673 S
0.246 0.918 0.673 S
0.500 0.171 0.658 Pm
0.000 0.332 0.335 Pm
0.500 0.500 0.000 Pm
0.000 0.668 0.665 Pm
0.500 0.829 0.342 Pm
```

Its magnetization is 4.45 μB per formula unit. The total energy is -7.04 eV per atom. The energy relative to the elements, uncorrected is -1.920 eV/atom.